No. 1
An optimized crystal structure of AcLa3Y6Ho2, computed with PBE-GGA.

Summary:
Energy = -5.5465 eV per atom
Calculated volume = 33.94 Å³ per atom
D(E_F) = 15.61 states/eV/f.u.
SG = C2/m
Total magnetization = 0.0 μB/f.u.

Unit cell a=6.3106 b=6.3106 c=11.9971 alpha=95.02 beta=95.02 gamma=120.01
Last column: nearest neighbours and their distance in Å.
Sites, in units of the cell vectors:
Ac: 0.0000 0.0000 0.0000  6 Y 3.63, 6 Ho 3.64
La: 0.1673 0.8327 0.5000  6 Y 3.62-3.64, 6 La 3.64-3.66
La: 0.8327 0.1673 0.5000  6 Y 3.62-3.64, 6 La 3.64-3.66
La: 0.5000 0.5000 0.5000  6 Y 3.62-3.64, 6 La 3.64-3.65
Y: 0.9166 0.5801 0.7508  2 Ho 3.61, 3 La 3.62-3.64, 6 Y 3.63-3.68, 1 Ac 3.63
Y: 0.7470 0.7470 0.2493  2 Ho 3.62, 3 La 3.62-3.64, 6 Y 3.63-3.68, 1 Ac 3.63
Y: 0.0834 0.4199 0.2492  2 Ho 3.61, 3 La 3.62-3.64, 6 Y 3.63-3.68, 1 Ac 3.63
Y: 0.5801 0.9166 0.7508  2 Ho 3.61, 3 La 3.62-3.64, 6 Y 3.63-3.68, 1 Ac 3.63
Y: 0.2530 0.2530 0.7507  2 Ho 3.62, 3 La 3.62-3.64, 6 Y 3.63-3.68, 1 Ac 3.63
Y: 0.4199 0.0834 0.2492  2 Ho 3.61, 3 La 3.62-3.64, 6 Y 3.63-3.68, 1 Ac 3.63
Ho: 0.3332 0.6668 0.0000  6 Y 3.61-3.62, 3 Ho 3.64-3.65, 3 Ac 3.64
Ho: 0.6668 0.3332 0.0000  6 Y 3.61-3.62, 3 Ho 3.64-3.65, 3 Ac 3.64

***

No. 2
An optimized crystal structure of AcLaHoZn, computed with PBE-GGA.

Summary:
Energy = -3.5672 eV per atom
Calculated volume = 31.49 Å³ per atom
D(E_F) = 6.66 states/eV/f.u.
SG = F-43m
Offset from the most stable computed form = 284 meV/atom
Total magnetization = 0.0 μB/f.u.

Unit cell a=5.6264 b=5.6264 c=5.6264 alpha=60.00 beta=60.00 gamma=60.00
Last column: nearest neighbours and their distance in Å.
Sites, in units of the cell vectors:
Zn: 0.2500 0.2500 0.2500  4 La 3.45, 4 Ho 3.45
Ac: 0.7500 0.7500 0.7500  4 La 3.45, 4 Ho 3.45
Ho: 0.5000 0.5000 0.5000  4 Ac 3.45, 4 Zn 3.45
La: 0.0000 0.0000 0.0000  4 Ac 3.45, 4 Zn 3.45

***

No. 3
An optimized crystal structure of AcLaHoZn, computed with PBE-GGA.

Summary:
Energy = -3.8511 eV per atom
Calculated volume = 31.55 Å³ per atom
D(E_F) = 6.04 states/eV/f.u.
SG = P4mm
Offset from the most stable computed form = 0 meV/atom
Total magnetization = 0.0 μB/f.u.

Unit cell a=3.7307 b=3.7307 c=9.0669 alpha=90.00 beta=90.00 gamma=90.00
Last column: nearest neighbours and their distance in Å.
Sites, in units of the cell vectors:
Ac: 0.0000 0.0000 0.0851  4 Ac 3.73, 4 Ho 3.75, 4 La 3.89
La: 0.5000 0.5000 0.7696  4 Zn 3.30, 1 Ho 3.54
Ho: 0.5000 0.5000 0.3787  4 Zn 3.07
Zn: 0.0000 0.0000 0.5513  4 Ho 3.07, 4 La 3.30